# 1
Entry from the Alexandria database: a relaxed structure of PuCdPd14 (PBE-GGA).

formation energy from the elements: -0.206 eV per atom
N(E_F): 2.102 states/eV per atom
total magnetic moment: 0.20 μB/atom

POSCAR file:
```
PuCdPd14
1.0
-1.861 3.640 4.011
-5.107 0.234 -2.582
-2.489 -6.090 4.372
Pu Cd Pd
1 1 14
Cartesian
-3.858 -1.592 2.722
-7.342 0.345 3.436
-6.097 3.390 1.251
-2.613 1.453 0.536
-4.788 0.228 4.727
-3.544 3.273 2.542
-6.411 -1.475 1.431
-5.167 1.570 -0.755
-2.413 0.810 3.252
-3.682 -2.295 5.481
-4.033 -0.889 -0.038
-5.302 -3.994 2.191
-4.962 0.927 1.964
-6.231 -2.178 4.193
-1.484 -1.006 1.251
-2.753 -4.111 3.480
```

# 2
Entry from the Alexandria database: a relaxed structure of Sm2U2Pt15 (PBE-GGA).

formation energy from the elements: -0.643 eV per atom
N(E_F): 1.175 states/eV per atom
total magnetic moment: 0.00 μB/atom

POSCAR file:
```
Sm2U2Pt15
1.0
-2.109 6.501 1.921
-6.898 -1.416 0.896
0.086 -0.963 7.033
Sm U Pt
2 2 15
Cartesian
-3.177 1.468 3.507
-5.745 2.654 6.342
-0.769 0.355 0.849
-8.153 3.767 9.001
-1.055 3.250 0.960
0.043 -0.481 3.516
-3.449 -0.708 0.448
-4.665 -1.271 2.858
-3.640 3.970 1.593
-0.616 1.423 5.398
-5.367 1.115 1.223
-1.407 4.114 3.555
-2.147 -1.108 5.071
-4.826 -0.521 5.530
-5.918 3.194 2.986
-2.442 3.419 6.041
-4.096 4.643 4.319
-3.003 0.928 6.863
-6.479 0.703 3.809
```

# 3
Entry from the Alexandria database: a relaxed structure of FeBiSe2 (PBE-GGA).

formation energy from raw total energies: -0.168 eV per atom
N(E_F): 1.344 states/eV per atom
total magnetic moment: 0.26 μB/atom

POSCAR file:
```
FeBiSe2
1.0
2.718 -2.355 7.978
5.373 -3.507 5.951
5.275 -0.128 6.981
Bi Se Fe
1 2 1
Cartesian
0.000 0.000 0.000
11.803 -5.289 18.464
1.564 -0.701 2.446
6.683 -2.995 10.455
```

# 4
Entry from the Alexandria database: a relaxed structure of PuZnFe2 (PBE-GGA).

formation energy from the elements: 0.060 eV per atom
N(E_F): 1.406 states/eV per atom
total magnetic moment: 0.53 μB/atom

POSCAR file:
```
PuZnFe2
1.0
3.407 0.000 0.000
0.000 4.161 0.000
0.000 0.000 4.161
Zn Fe Pu
1 2 1
Cartesian
1.703 0.000 0.000
0.000 0.000 2.080
0.000 2.080 0.000
1.703 2.080 2.080
```